# 1
# Tl8B3Se8

Crystalline Tl8B3Se8 at its relaxed geometry (GGA-PBE, Alexandria).

The structure in POSCAR format:
```
Tl8B3Se8
1.0
6.787 0.000 0.000
0.481 9.264 0.000
3.046 1.293 9.154
Tl B Se
8 3 8
Direct
0.128 0.331 0.076
0.244 0.936 0.153
0.268 0.169 0.494
0.357 0.505 0.687
0.643 0.495 0.313
0.732 0.831 0.506
0.756 0.064 0.847
0.872 0.669 0.924
0.000 0.500 0.500
0.295 0.889 0.784
0.705 0.111 0.216
0.127 0.572 0.308
0.205 0.835 0.624
0.284 0.093 0.819
0.391 0.732 0.909
0.609 0.268 0.091
0.716 0.907 0.181
0.795 0.165 0.376
0.873 0.428 0.692
```

E_form (uncorrected)	-0.24	eV per atom

# 2
# Tl2BSe

Crystalline Tl2BSe at its relaxed geometry (GGA-PBE, Alexandria).

The structure in POSCAR format:
```
Tl2BSe
1.0
0.000 3.659 3.659
3.659 0.000 3.659
3.659 3.659 0.000
Tl B Se
2 1 1
Direct
0.250 0.250 0.250
0.750 0.750 0.750
0.000 0.000 0.000
0.500 0.500 0.500
```

E_form (uncorrected)	0.95	eV per atom

# 3
# Tl2BSe3

Crystalline Tl2BSe3 at its relaxed geometry (GGA-PBE, Alexandria).

The structure in POSCAR format:
```
Tl2BSe3
1.0
5.540 -3.521 0.000
5.540 3.521 0.000
-2.763 0.000 8.969
Tl B Se
4 2 6
Direct
0.075 0.663 0.898
0.337 0.925 0.602
0.663 0.075 0.398
0.925 0.337 0.102
0.404 0.596 0.250
0.596 0.404 0.750
0.125 0.875 0.250
0.314 0.416 0.611
0.416 0.314 0.111
0.584 0.686 0.889
0.686 0.584 0.389
0.875 0.125 0.750
```

E_form (uncorrected)	-0.22	eV per atom

# 4
# Tl4BSe4

Crystalline Tl4BSe4 at its relaxed geometry (GGA-PBE, Alexandria).

The structure in POSCAR format:
```
Tl4BSe4
1.0
9.005 0.000 0.000
0.000 9.005 0.000
0.000 0.000 6.417
Tl B Se
8 2 8
Direct
0.023 0.747 0.080
0.247 0.977 0.580
0.253 0.523 0.580
0.477 0.753 0.080
0.523 0.247 0.920
0.747 0.477 0.420
0.753 0.023 0.420
0.977 0.253 0.920
0.250 0.250 0.250
0.750 0.750 0.750
0.054 0.251 0.427
0.249 0.054 0.073
0.251 0.446 0.073
0.446 0.249 0.427
0.554 0.751 0.573
0.749 0.554 0.927
0.751 0.946 0.927
0.946 0.749 0.573
```

E_form (uncorrected)	-0.27	eV per atom

# 5
# TlBSe3

Crystalline TlBSe3 at its relaxed geometry (GGA-PBE, Alexandria).

The structure in POSCAR format:
```
TlBSe3
1.0
4.668 0.000 0.000
0.000 4.668 0.000
0.000 0.000 4.668
Tl B Se
1 1 3
Direct
0.000 0.000 0.000
0.500 0.500 0.500
0.000 0.500 0.500
0.500 0.000 0.500
0.500 0.500 0.000
```

E_form (uncorrected)	0.45	eV per atom

# 6
# TlB2Se

Crystalline TlB2Se at its relaxed geometry (GGA-PBE, Alexandria).

The structure in POSCAR format:
```
TlB2Se
1.0
-2.616 2.616 4.971
2.616 -2.616 4.971
2.616 2.616 -4.971
Tl B Se
2 4 2
Direct
0.000 0.000 0.000
0.750 0.250 0.500
0.165 0.625 0.040
0.375 0.415 0.540
0.585 0.125 0.960
0.875 0.835 0.460
0.250 0.750 0.500
0.500 0.500 0.000
```

E_form (uncorrected)	0.90	eV per atom

# 7
# Tl2B2Se5

Crystalline Tl2B2Se5 at its relaxed geometry (GGA-PBE, Alexandria).

The structure in POSCAR format:
```
Tl2B2Se5
1.0
5.077 -2.787 0.000
5.077 2.787 0.000
-1.191 0.000 9.469
Tl B Se
2 2 5
Direct
0.066 0.066 0.315
0.934 0.934 0.685
0.339 0.339 0.127
0.661 0.661 0.873
0.166 0.166 0.012
0.385 0.385 0.326
0.500 0.500 0.000
0.615 0.615 0.674
0.834 0.834 0.988
```

E_form (uncorrected)	0.08	eV per atom

# 8
# TlBSe3

Crystalline TlBSe3 at its relaxed geometry (GGA-PBE, Alexandria).

The structure in POSCAR format:
```
TlBSe3
1.0
5.171 0.000 0.000
0.000 6.409 0.000
-2.295 0.000 9.503
Tl B Se
2 2 6
Direct
0.105 0.250 0.351
0.895 0.750 0.649
0.106 0.750 0.224
0.894 0.250 0.776
0.261 0.250 0.747
0.265 0.750 0.428
0.286 0.750 0.073
0.714 0.250 0.927
0.735 0.250 0.572
0.739 0.750 0.253
```

E_form (uncorrected)	-0.10	eV per atom

> What is the formula in the sixth record?

TlB2Se

> Which formula does entry 2 have?

Tl2BSe

Repeat the third record exactly.
# Tl2BSe3

Crystalline Tl2BSe3 at its relaxed geometry (GGA-PBE, Alexandria).

The structure in POSCAR format:
```
Tl2BSe3
1.0
5.540 -3.521 0.000
5.540 3.521 0.000
-2.763 0.000 8.969
Tl B Se
4 2 6
Direct
0.075 0.663 0.898
0.337 0.925 0.602
0.663 0.075 0.398
0.925 0.337 0.102
0.404 0.596 0.250
0.596 0.404 0.750
0.125 0.875 0.250
0.314 0.416 0.611
0.416 0.314 0.111
0.584 0.686 0.889
0.686 0.584 0.389
0.875 0.125 0.750
```

E_form (uncorrected)	-0.22	eV per atom

> Number 7 is which compound?

Tl2B2Se5